Compound: TbNi5Ge2
Source: the Alexandria database
Functional: GGA-PBE
Structure: relaxed

The structure in extended XYZ format:
```
8
Lattice="-2.714 1.286 -2.091 -5.026 -2.912 1.532 -3.587 3.318 3.495" Properties=species:S:1:pos:R:3 pbc="T T T"
Tb 0.000 0.000 0.000
Ni -4.307 0.203 2.513
Ni -5.107 -0.196 0.104
Ni -6.222 1.887 2.832
Ni -6.760 -0.442 2.098
Ni -4.569 2.134 0.838
Ge -8.492 1.269 2.197
Ge -2.836 0.422 0.739
```

Values from the calculation:
Spin magnetization: 0.000 μB/atom
Total energy: -5.79 eV per atom
Fermi-level density of states: 5.1 states/eV/f.u.